ScB4W: optimized geometry, PBE-GGA.

a b c (Å): 4.5258 4.5258 4.5258
angles (deg): 140.08 108.16 85.50
Last column: nearest neighbours and their distance in Å.
Fractional positions:
Sc 0.0000 0.0000 0.0000  12 B 2.42-2.44
B 0.0837 0.7484 0.3353  3 B 1.75-1.79
B 0.4131 0.7484 0.6647  3 B 1.75-1.79
B 0.5869 0.2516 0.3353  3 B 1.75-1.79
B 0.9163 0.2516 0.6647  3 B 1.75-1.79
W 0.5000 0.5000 0.0000  12 B 2.43-2.44

Values from the calculation:
SG ... Immm (71)
Final energy ... -8.32 eV/atom
Calculated density ... 8.28 g cm⁻³

ScB2W: optimized geometry, PBE-GGA.

a b c (Å): 4.0921 4.0921 4.0921
angles (deg): 60.00 60.00 60.00
Last column: nearest neighbours and their distance in Å.
Fractional positions:
Sc 0.0000 0.0000 0.0000  4 W 2.51, 4 B 2.51
B 0.5000 0.5000 0.5000  4 W 2.51, 4 B 2.51
B 0.7500 0.7500 0.7500  4 B 2.51, 4 Sc 2.51
W 0.2500 0.2500 0.2500  4 B 2.51, 4 Sc 2.51

Values from the calculation:
SG ... F-43m (216)
Final energy ... -6.82 eV/atom
Calculated density ... 8.58 g cm⁻³

ScBW: optimized geometry, PBE-GGA.

a b c (Å): 3.9574 3.9574 3.9574
angles (deg): 60.00 60.00 60.00
Last column: nearest neighbours and their distance in Å.
Fractional positions:
Sc 0.0000 0.0000 0.0000  4 B 2.42
B 0.2500 0.2500 0.2500  4 W 2.42, 4 Sc 2.42
W 0.5000 0.5000 0.5000  4 B 2.42

Values from the calculation:
SG ... F-43m (216)
Final energy ... -8.46 eV/atom
Calculated density ... 9.08 g cm⁻³

ScB4W: optimized geometry, PBE-GGA.

a b c (Å): 5.9233 11.3950 3.5311
angles (deg): 90.00 90.00 90.00
Last column: nearest neighbours and their distance in Å.
Fractional positions:
Sc 0.1288 0.1476 0.0000  14 B 2.58-2.80
Sc 0.3712 0.6476 0.0000  14 B 2.58-2.80
Sc 0.6288 0.3524 0.0000  14 B 2.58-2.80
Sc 0.8712 0.8524 0.0000  14 B 2.58-2.80
B 0.0173 0.6968 0.5000  3 B 1.72-1.85
B 0.1162 0.5499 0.5000  3 B 1.77-1.79
B 0.1300 0.9686 0.5000  3 B 1.70-1.83
B 0.2049 0.8125 0.5000  3 B 1.72-1.85
B 0.2951 0.3125 0.5000  3 B 1.72-1.85
B 0.3700 0.4686 0.5000  3 B 1.70-1.83
B 0.3838 0.0499 0.5000  3 B 1.77-1.79
B 0.4827 0.1968 0.5000  3 B 1.72-1.85
B 0.5173 0.8032 0.5000  3 B 1.72-1.85
B 0.6162 0.9501 0.5000  3 B 1.77-1.79
B 0.6300 0.5314 0.5000  3 B 1.70-1.83
B 0.7049 0.6875 0.5000  3 B 1.72-1.85
B 0.7951 0.1875 0.5000  3 B 1.72-1.85
B 0.8700 0.0314 0.5000  3 B 1.70-1.83
B 0.8838 0.4501 0.5000  3 B 1.77-1.79
B 0.9827 0.3032 0.5000  3 B 1.72-1.85
W 0.1346 0.4141 0.0000  10 B 2.32-2.35, 1 W 2.52
W 0.3654 0.9141 0.0000  10 B 2.32-2.35, 1 W 2.52
W 0.6346 0.0859 0.0000  10 B 2.32-2.35, 1 W 2.52
W 0.8654 0.5859 0.0000  10 B 2.32-2.35, 1 W 2.52

Values from the calculation:
SG ... Pbam (55)
Final energy ... -8.24 eV/atom
Calculated density ... 7.58 g cm⁻³

ScBW: optimized geometry, PBE-GGA.

a b c (Å): 6.5005 3.3563 7.7797
angles (deg): 90.00 90.00 90.00
Last column: nearest neighbours and their distance in Å.
Fractional positions:
Sc 0.0246 0.2500 0.1693  4 B 2.57-2.58
Sc 0.4754 0.7500 0.6693  4 B 2.57-2.58
Sc 0.5246 0.2500 0.3307  4 B 2.57-2.58
Sc 0.9754 0.7500 0.8307  4 B 2.57-2.58
B 0.2273 0.7500 0.3562  4 W 2.35-2.51, 4 Sc 2.57-2.58
B 0.2727 0.2500 0.8562  4 W 2.35-2.51, 4 Sc 2.57-2.58
B 0.7273 0.7500 0.1438  4 W 2.35-2.51, 4 Sc 2.57-2.58
B 0.7727 0.2500 0.6438  4 W 2.35-2.51, 4 Sc 2.57-2.58
W 0.1383 0.2500 0.5534  4 B 2.35-2.51, 2 W 2.60
W 0.3617 0.7500 0.0534  4 B 2.35-2.51, 2 W 2.60
W 0.6383 0.2500 0.9466  4 B 2.35-2.51, 2 W 2.60
W 0.8617 0.7500 0.4466  4 B 2.35-2.51, 2 W 2.60

Values from the calculation:
SG ... Pnma (62)
Final energy ... -8.86 eV/atom
Calculated density ... 9.38 g cm⁻³

ScB4W: optimized geometry, PBE-GGA.

a b c (Å): 3.0704 3.0704 6.7872
angles (deg): 90.00 90.00 120.00
Last column: nearest neighbours and their distance in Å.
Fractional positions:
Sc 0.0000 0.0000 0.0000  12 B 2.49
B 0.3333 0.6667 0.2574  3 B 1.77
B 0.3333 0.6667 0.7426  3 B 1.77
B 0.6667 0.3333 0.2574  3 B 1.77
B 0.6667 0.3333 0.7426  3 B 1.77
W 0.0000 0.0000 0.5000  12 B 2.42

Values from the calculation:
SG ... P6/mmm (191)
Final energy ... -8.28 eV/atom
Calculated density ... 8.15 g cm⁻³